Here is an optimized crystal structure of NiGe3B from Alexandria. Energies are from PBE-GGA.

```
data_NiGe3B
_symmetry_space_group_name_H-M 'P m -3 m'
_symmetry_Int_Tables_number 221
_symmetry_space_group_name_Hall '-P 4 2 3'
_cell_length_a 4.296
_cell_length_b 4.296
_cell_length_c 4.296
_cell_angle_alpha 90.00
_cell_angle_beta 90.00
_cell_angle_gamma 90.00
loop_
_atom_site_label
_atom_site_type_symbol
_atom_site_fract_x
_atom_site_fract_y
_atom_site_fract_z
Ni1 Ni 0.000 0.000 0.000
Ge1 Ge 0.000 0.500 0.500
B1 B 0.500 0.500 0.500
```

Properties
Uncorrected energy (eV/atom): -4.467
DFT formation energy (eV per atom): 0.7949
Excess energy over the best structure of this formula in the dataset (meV/atom): 0.0
Total magnetic moment (μB per formula unit): 0.0